TmPaO6 | PBE | optimized geometry

Lattice parameters (Å, degrees): 6.0979 6.0979 6.0979 60.00 60.00 60.00
Closest atoms and distances in Å follow each position.
Fractional coordinates of all 8 atoms:
1 O 0.2561 0.2561 0.7439  1 Pa 2.10, 1 Tm 2.21
2 O 0.7439 0.2561 0.7439  1 Pa 2.10, 1 Tm 2.21
3 O 0.2561 0.7439 0.2561  1 Pa 2.10, 1 Tm 2.21
4 O 0.7439 0.7439 0.2561  1 Pa 2.10, 1 Tm 2.21
5 O 0.2561 0.7439 0.7439  1 Pa 2.10, 1 Tm 2.21
6 O 0.7439 0.2561 0.2561  1 Pa 2.10, 1 Tm 2.21
7 Pa 0.5000 0.5000 0.5000  6 O 2.10
8 Tm 0.0000 0.0000 0.0000  6 O 2.21

Computed properties:
Calculated total energy ... -7.556 eV/atom
M_tot ... 4.04 μB/f.u.
Crystal system ... cubic
Energy relative to the elements, uncorrected ... -2.092 eV per atom